CaSiBO: optimized geometry, PBE-GGA.

Values from the calculation:
As for the density of states at the Fermi level: 0.67 states/eV/cell. For the volume, the calculation gives 64 Å³/cell. The total moment comes out at 0.00 μB/atom. As for the distance to the lowest polymorph of the same formula: 11.5 kJ/mol of atoms.

```
data_CaSiBO
_chemical_formula_sum 'Ca1 Si1 B1 O1'
_space_group_name_H-M_alt 'P 1'
_space_group_IT_number 1
_space_group_name_Hall 'P 1'
_cell_length_a 3.3867
_cell_length_b 3.5385
_cell_length_c 6.2557
_cell_angle_alpha 73.78
_cell_angle_beta 82.86
_cell_angle_gamma 61.93
loop_
_atom_site_label
_atom_site_fract_x
_atom_site_fract_y
_atom_site_fract_z
Ca1 0.0000 0.0000 0.0000
Si1 0.2925 0.1624 0.4038
B1 0.3095 0.5655 0.5842
O1 0.3264 0.4429 0.8166
```